The following is a DFT calculation (PBE with a Hubbard U) of a relaxed Y2NiIrF crystal.

Cell lengths 4.790, 4.790, 3.944 Å; angles 90.00, 90.00, 90.00 degrees
Atoms (fractional coordinates):
Y 0.000 0.500 0.000
Y 0.500 0.000 0.000
Ni 0.000 0.000 0.500
Ir 0.500 0.500 0.500
F 0.000 0.000 0.000

Size of the total moment (μB/cell): 1.04
Space-group type: P4/mmm (123)
Final energy (eV per atom): -6.141